No. 1
First-principles (PBEsol) data for an optimized crystal structure of SbPbCl, as listed in Alexandria via LeMat-Bulk.

Geometry as CIF:
```
data_SbPbCl
_chemical_formula_sum 'Sb4 Pb4 Cl4'
_cell_length_a 7.112
_cell_length_b 7.112
_cell_length_c 7.112
_cell_angle_alpha 90.00
_cell_angle_beta 90.00
_cell_angle_gamma 90.00
_symmetry_space_group_name_H-M 'F -4 3 m'
_symmetry_Int_Tables_number 216
_symmetry_space_group_name_Hall 'F -4 2 3'
loop_
_atom_site_label
_atom_site_type_symbol
_atom_site_fract_x
_atom_site_fract_y
_atom_site_fract_z
_atom_site_occupancy
Sb1 Sb 0.000 0.000 0.000 1
Pb1 Pb 0.250 0.250 0.250 1
Cl1 Cl 0.000 0.000 0.500 1
```

Uncorrected formation energy (eV/atom): -0.12
Volume (Å³/atom): 30.0

***

No. 2
First-principles (PBEsol) data for an optimized crystal structure of Sb2TePbCl, as listed in Alexandria via LeMat-Bulk.

Geometry as CIF:
```
data_Sb2TePbCl
_chemical_formula_sum 'Sb2 Te1 Pb1 Cl1'
_cell_length_a 5.298
_cell_length_b 5.298
_cell_length_c 5.347
_cell_angle_alpha 90.00
_cell_angle_beta 90.00
_cell_angle_gamma 90.00
_symmetry_space_group_name_H-M 'P 4/m m m'
_symmetry_Int_Tables_number 123
_symmetry_space_group_name_Hall '-P 4 2'
loop_
_atom_site_label
_atom_site_type_symbol
_atom_site_fract_x
_atom_site_fract_y
_atom_site_fract_z
_atom_site_occupancy
Sb1 Sb 0.000 0.500 0.000 1
Te1 Te 0.000 0.000 0.500 1
Pb1 Pb 0.500 0.500 0.500 1
Cl1 Cl 0.000 0.000 0.000 1
```

Uncorrected formation energy (eV/atom): 0.50
Volume (Å³/atom): 30.0

***

no.,magnetization (Bohr magnetons per cell),energy (eV/cell)
1,0.0,-43.7
2,0.0,-16.2